This record from the Alexandria database describes an optimized crystal structure of NaNd2Hf. The functional is PBE.

The structure in POSCAR format:
```
NaNd2Hf
1.0
3.439 0.000 0.000
0.000 3.439 0.000
0.000 0.000 10.645
Nd Hf Na
2 1 1
Cartesian
0.000 0.000 8.328 Nd
0.000 0.000 2.317 Nd
1.719 1.719 0.000 Hf
1.719 1.719 5.322 Na
```

## Properties
VASP energy (eV per atom): -5.05
Magnetization (μB/cell): 0.00
Density of states at the Fermi level (states/eV/f.u.): 4.5



This record from the Alexandria database describes an optimized crystal structure of KYVFe2. The functional is PBE.

The structure in POSCAR format:
```
KYVFe2
1.0
-2.108 -3.148 -2.402
4.081 -0.279 -3.216
1.817 -3.186 2.582
Y K Fe V
1 1 2 1
Cartesian
1.895 -3.306 -1.518 Y
2.040 -0.139 -1.608 K
0.908 -1.593 1.291 Fe
-1.054 -1.574 -1.201 Fe
0.000 0.000 0.000 V
```

## Properties
VASP energy (eV per atom): -5.57
Magnetization (μB/cell): 2.36
Density of states at the Fermi level (states/eV/f.u.): 7.2